Li2SmMnN4, optimized geometry, DFT PBE-GGA; ρ = 5.0 g cm⁻³; calculated total energy = -55.77 eV per formula unit
1.0
-1.6883 4.7842 -1.7676
-2.7979 0.5381 -4.0359
-3.9035 2.3463 1.9142
Li Sm N Mn
2 1 4 1
direct
0.5000 0.2501 0.7499 Li
0.5000 0.7499 0.2501 Li
0.0000 0.0000 0.0000 Sm
0.0000 0.4730 0.1600 N
0.0000 0.8400 0.5270 N
0.6330 0.5270 0.8400 N
0.3670 0.1600 0.4730 N
0.0000 0.5000 0.5000 Mn



BSbHPt2, optimized geometry, DFT PBE-GGA; ρ = 12.5 g cm⁻³; offset from the most stable computed form = 475 meV/atom
1.0
3.8699 0.0000 0.0000
0.0000 4.6484 0.0000
0.0000 0.0000 3.8699
Pt Sb H B
2 1 1 1
direct
0.5000 0.0000 0.0000 Pt
0.0000 0.0000 0.5000 Pt
0.5000 0.5000 0.5000 Sb
0.0000 0.0000 0.0000 H
0.0000 0.5000 0.0000 B



HfCuSeN2, optimized geometry, DFT PBE-GGA; ρ = 8.5 g cm⁻³; offset from the most stable computed form = 415 meV/atom
1.0
3.8730 0.0000 0.0000
0.0000 3.8730 0.0000
0.0000 0.0000 4.5456
N Hf Se Cu
2 1 1 1
direct
0.5000 0.0000 0.0000 N
0.0000 0.5000 0.0000 N
0.5000 0.5000 0.5000 Hf
0.0000 0.0000 0.5000 Se
0.0000 0.0000 0.0000 Cu



KNaZr2Sb, optimized geometry, DFT PBE-GGA; ρ = 4.6 g cm⁻³; offset from the most stable computed form = 897 meV/atom
1.0
5.2274 0.0000 0.0000
0.0000 4.7985 0.0000
0.0000 0.0000 5.2274
K Na Zr Sb
1 1 2 1
direct
0.0000 0.0000 0.0000 K
0.0000 0.5000 0.0000 Na
0.0000 0.0000 0.5000 Zr
0.5000 0.0000 0.0000 Zr
0.5000 0.5000 0.5000 Sb



BaSrOs2, optimized geometry, DFT PBE-GGA; ΔH_f (0 K) = 33.43 kcal/mol of atoms; ρ = 10.0 g cm⁻³; offset from the most stable computed form = 1258 meV/atom
1.0
4.6310 -2.3894 0.1784
0.9997 -3.4708 3.7604
0.3642 -5.0700 -1.1615
Os Sr Ba
2 1 1
direct
0.7500 0.7500 0.7500 Os
0.2500 0.2500 0.2500 Os
0.0000 0.0000 0.0000 Sr
0.5000 0.5000 0.5000 Ba



YHoEr14, optimized geometry, DFT PBE-GGA; ΔH_f (0 K) = 1.42 kcal/mol of atoms; ρ = 8.7 g cm⁻³
1.0
-2.5408 -6.3523 0.5907
6.3955 -0.0526 2.5002
-3.8879 2.4847 9.9974
Er Y Ho
14 1 1
direct
0.2120 0.3788 0.5000 Er
0.4152 0.1659 0.2484 Er
0.0387 0.3707 0.0000 Er
0.5547 0.4453 0.0000 Er
0.3462 0.6538 0.2316 Er
0.9040 0.0960 0.7321 Er
0.1067 0.8933 0.0000 Er
0.9040 0.0960 0.2679 Er
0.6293 0.9613 0.0000 Er
0.8341 0.5848 0.2484 Er
0.3462 0.6538 0.7684 Er
0.8341 0.5848 0.7516 Er
0.4152 0.1659 0.7516 Er
0.6212 0.7880 0.5000 Er
0.6948 0.3052 0.5000 Y
0.1436 0.8564 0.5000 Ho



NdDy5Y2Th, optimized geometry, DFT PBE-GGA; ΔH_f (0 K) = 3.78 kcal/mol of atoms; ρ = 7.7 g cm⁻³
1.0
5.6454 0.0000 0.0000
-2.8227 9.9713 0.0000
0.0000 0.0000 10.4912
Dy Nd Y Th
10 2 4 2
direct
0.6103 0.2207 0.5254 Dy
0.7224 0.4448 0.8142 Dy
0.9826 0.9652 0.5249 Dy
0.0174 0.0348 0.0249 Dy
0.7037 0.4073 0.2075 Dy
0.3897 0.7793 0.0254 Dy
0.5222 0.0444 0.2373 Dy
0.2776 0.5552 0.3142 Dy
0.4778 0.9556 0.7373 Dy
0.2963 0.5927 0.7075 Dy
0.4131 0.8261 0.4484 Nd
0.5869 0.1739 0.9484 Nd
0.8872 0.7745 0.2329 Y
0.8866 0.7731 0.8195 Y
0.1128 0.2255 0.7329 Y
0.1134 0.2269 0.3195 Y
0.7979 0.5957 0.5137 Th
0.2021 0.4043 0.0137 Th



PmDyIrO6, optimized geometry, DFT PBE-GGA; ρ = 7.6 g cm⁻³; calculated total energy = -67.62 eV per formula unit
1.0
5.5266 0.0000 0.0000
-2.7633 4.7862 0.0000
0.0000 0.0000 9.8574
O Pm Dy Ir
12 2 2 2
direct
0.9587 0.3322 0.1375 O
0.3322 0.9587 0.6375 O
0.9587 0.6265 0.3625 O
0.6265 0.9587 0.8625 O
0.6678 0.0413 0.3625 O
0.3735 0.3322 0.3625 O
0.0413 0.3735 0.6375 O
0.6265 0.6678 0.6375 O
0.6678 0.6265 0.1375 O
0.3735 0.0413 0.1375 O
0.3322 0.3735 0.8625 O
0.0413 0.6678 0.8625 O
0.0000 0.0000 0.5000 Pm
0.0000 0.0000 0.0000 Pm
0.6667 0.3333 0.7500 Dy
0.3333 0.6667 0.2500 Dy
0.6667 0.3333 0.2500 Ir
0.3333 0.6667 0.7500 Ir



Er2NiGe2Rh5, optimized geometry, DFT PBE-GGA; ΔH_f (0 K) = -14.84 kcal/mol of atoms; ρ = 10.6 g cm⁻³
1.0
-0.3981 3.4839 0.5668
-6.2905 0.4643 -7.2717
-7.2062 -1.8187 6.1178
Rh Ni Er Ge
10 2 4 4
direct
0.5000 0.5653 0.7018 Rh
0.5000 0.2982 0.5653 Rh
0.5000 0.4347 0.2982 Rh
0.5000 0.2018 0.0653 Rh
0.5000 0.7982 0.9347 Rh
0.5000 0.7018 0.4347 Rh
0.5000 0.0000 0.5000 Rh
0.5000 0.5000 0.0000 Rh
0.5000 0.0653 0.7982 Rh
0.5000 0.9347 0.2018 Rh
0.0000 0.5000 0.5000 Ni
0.0000 0.0000 0.0000 Ni
0.0000 0.1727 0.3273 Er
0.0000 0.6727 0.1727 Er
0.0000 0.8273 0.6727 Er
0.0000 0.3273 0.8273 Er
0.0000 0.6279 0.8721 Ge
0.0000 0.8721 0.3721 Ge
0.0000 0.3721 0.1279 Ge
0.0000 0.1279 0.6279 Ge



BaScTl2, optimized geometry, DFT PBE-GGA; ΔH_f (0 K) = 2.89 kcal/mol of atoms; ρ = 7.7 g cm⁻³
1.0
5.6476 0.0000 0.0000
2.8238 4.8910 0.0000
2.8238 1.6303 4.6113
Tl Ba Sc
2 1 1
direct
0.0000 0.0000 0.0000 Tl
0.2500 0.2500 0.2500 Tl
0.5000 0.5000 0.5000 Ba
0.7500 0.7500 0.7500 Sc



Be2AlRu2, optimized geometry, DFT PBE-GGA; ΔH_f (0 K) = -2.61 kcal/mol of atoms; ρ = 6.7 g cm⁻³; offset from the most stable computed form = 460 meV/atom
1.0
-1.5189 -1.0068 3.8484
-0.2004 -4.0948 -1.1504
2.2720 -3.0170 2.4630
Be Al Ru
2 1 2
direct
0.6526 0.6526 0.6947 Be
0.3474 0.3474 0.3053 Be
0.0000 0.0000 0.0000 Al
0.2500 0.7500 0.5000 Ru
0.7500 0.2500 0.5000 Ru



Ca2ErIn, optimized geometry, DFT PBE-GGA; ΔH_f (0 K) = -1.52 kcal/mol of atoms; ρ = 4.5 g cm⁻³; offset from the most stable computed form = 140 meV/atom
1.0
3.6703 0.0000 0.0000
1.8352 3.1786 0.0000
1.8352 1.0595 11.3399
Ca In Er
2 1 1
direct
0.0760 0.0760 0.7719 Ca
0.2569 0.2569 0.2292 Ca
0.6665 0.6665 0.0006 In
0.5006 0.5006 0.4983 Er



RbCeBi2, optimized geometry, DFT PBE-GGA; ΔH_f (0 K) = -9.33 kcal/mol of atoms; ρ = 6.3 g cm⁻³; offset from the most stable computed form = 105 meV/atom
1.0
-4.8363 0.2939 -0.2901
-2.7165 -0.7104 3.9593
-2.1255 8.0256 2.9570
Rb Bi Ce
1 2 1
direct
0.5000 0.5000 0.5000 Rb
0.7277 0.7277 0.8169 Bi
0.2723 0.2723 0.1831 Bi
0.0000 0.0000 0.0000 Ce



Pm6Sm4Pu, optimized geometry, DFT PBE-GGA; ΔH_f (0 K) = 3.84 kcal/mol of atoms; ρ = 7.6 g cm⁻³
1.0
3.5934 0.0000 0.0000
-1.7967 11.8436 0.0000
0.0000 0.0000 17.7104
Pu Sm Pm
2 8 12
direct
0.3764 0.7528 0.7500 Pu
0.6236 0.2472 0.2500 Pu
0.3816 0.7633 0.1407 Sm
0.6184 0.2367 0.8593 Sm
0.6184 0.2367 0.6407 Sm
0.1299 0.2597 0.0511 Sm
0.1299 0.2597 0.4489 Sm
0.8701 0.7403 0.9489 Sm
0.3816 0.7633 0.3593 Sm
0.8701 0.7403 0.5511 Sm
0.5000 0.0000 0.5000 Pm
0.0110 0.0220 0.1617 Pm
0.2410 0.4821 0.9179 Pm
0.7590 0.5179 0.4179 Pm
0.0110 0.0220 0.3383 Pm
0.9890 0.9780 0.8383 Pm
0.7590 0.5179 0.0821 Pm
0.9890 0.9780 0.6617 Pm
0.7537 0.5075 0.7500 Pm
0.5000 0.0000 0.0000 Pm
0.2410 0.4821 0.5821 Pm
0.2463 0.4925 0.2500 Pm



Np2PaSn, optimized geometry, DFT PBE-GGA; ΔH_f (0 K) = 2.19 kcal/mol of atoms; ρ = 14.1 g cm⁻³; offset from the most stable computed form = 0 meV/atom
1.0
4.6032 0.0000 0.0000
0.0000 4.5890 0.0000
0.0000 0.0000 4.5890
Np Sn Pa
2 1 1
direct
0.0000 0.0000 0.5000 Np
0.0000 0.5000 0.0000 Np
0.5000 0.0000 0.0000 Sn
0.5000 0.5000 0.5000 Pa



Cd6Hg8Bi, optimized geometry, DFT PBE-GGA; ΔH_f (0 K) = 0.81 kcal/mol of atoms; ρ = 10.1 g cm⁻³
1.0
8.7254 0.0000 0.0000
0.0000 6.3866 -3.6873
0.0000 0.0000 7.3746
Hg Bi Cd
8 1 6
direct
0.6081 0.3333 0.6667 Hg
0.8909 0.2918 0.9338 Hg
0.8909 0.6420 0.7082 Hg
0.1091 0.7082 0.0662 Hg
0.8909 0.0662 0.3580 Hg
0.3919 0.6667 0.3333 Hg
0.1091 0.3580 0.2918 Hg
0.1091 0.9338 0.6420 Hg
0.5000 0.0000 0.0000 Bi
0.6840 0.6967 0.1009 Cd
0.3160 0.5958 0.6967 Cd
0.6840 0.4042 0.3033 Cd
0.3160 0.1009 0.4042 Cd
0.3160 0.3033 0.8991 Cd
0.6840 0.8991 0.5958 Cd



La2InCu, optimized geometry, DFT PBE-GGA; ΔH_f (0 K) = -2.67 kcal/mol of atoms; ρ = 6.2 g cm⁻³
1.0
9.3757 -0.0156 -0.0093
8.5595 3.8262 -0.0093
8.5595 1.8186 3.3664
La Cu In
2 1 1
direct
0.5100 0.5100 0.5100 La
0.9900 0.9900 0.9900 La
0.2500 0.2500 0.2500 Cu
0.7500 0.7500 0.7500 In



Li2MgTc, optimized geometry, DFT PBE-GGA; ΔH_f (0 K) = 4.32 kcal/mol of atoms; ρ = 3.4 g cm⁻³
1.0
-0.6718 0.1791 -2.5732
0.6542 -2.5603 -0.3490
-8.7709 -2.5293 2.1138
Tc Li Mg
1 2 1
direct
0.5000 0.5000 0.7515 Tc
0.5000 0.5000 0.2510 Li
0.0000 0.0000 0.9804 Li
0.0000 0.0000 0.5171 Mg



NdHoEr2Tm2, optimized geometry, DFT PBE-GGA; ΔH_f (0 K) = 1.77 kcal/mol of atoms; ρ = 8.7 g cm⁻³
1.0
-3.0311 -4.5686 1.0601
3.9794 -4.4229 -7.6826
5.0373 -2.4141 3.9991
Tm Er Nd Ho
4 4 2 2
direct
0.5000 0.8336 0.7486 Tm
0.5000 0.1664 0.2514 Tm
0.0000 0.3336 0.7514 Tm
0.0000 0.6664 0.2486 Tm
0.0000 0.6668 0.7512 Er
0.0000 0.3332 0.2488 Er
0.5000 0.1668 0.7488 Er
0.5000 0.8332 0.2512 Er
0.0000 0.0000 0.0000 Nd
0.5000 0.5000 0.5000 Nd
0.5000 0.5000 0.0000 Ho
0.0000 0.0000 0.5000 Ho



Zr2HgAs, optimized geometry, DFT PBE-GGA; ΔH_f (0 K) = -8.36 kcal/mol of atoms; ρ = 9.3 g cm⁻³; offset from the most stable computed form = 241 meV/atom
1.0
0.0000 3.4442 3.4442
3.4442 0.0000 3.4442
3.4442 3.4442 0.0000
Zr Hg As
2 1 1
direct
0.2500 0.2500 0.2500 Zr
0.7500 0.7500 0.7500 Zr
0.5000 0.5000 0.5000 Hg
0.0000 0.0000 0.0000 As



Ce3Bi2Sb, optimized geometry, DFT PBE-GGA; ρ = 7.9 g cm⁻³; offset from the most stable computed form = 0 meV/atom
1.0
-1.5935 -4.2701 0.1468
5.9556 -2.1799 1.2378
-3.3382 3.8884 6.0435
Bi Ce Sb
2 3 1
direct
0.8318 0.8318 0.1636 Bi
0.1682 0.1682 0.8364 Bi
0.5000 0.0000 0.5000 Ce
0.8374 0.3374 0.1748 Ce
0.1626 0.6626 0.8252 Ce
0.5000 0.5000 0.5000 Sb



LaMn, optimized geometry, DFT PBE-GGA; ΔH_f (0 K) = 9.55 kcal/mol of atoms; ρ = 6.7 g cm⁻³
1.0
5.0016 0.0000 0.0000
0.0000 5.2798 0.0000
0.0000 0.0000 10.8459
La Mn
6 6
direct
0.5000 0.3587 0.3411 La
0.5000 0.3587 0.6589 La
0.0000 0.6413 0.1589 La
0.0000 0.8974 0.5000 La
0.5000 0.1026 0.0000 La
0.0000 0.6413 0.8411 La
0.5000 0.9277 0.7143 Mn
0.0000 0.1218 0.0000 Mn
0.0000 0.0723 0.2143 Mn
0.5000 0.9277 0.2857 Mn
0.5000 0.8782 0.5000 Mn
0.0000 0.0723 0.7857 Mn



AcTmAl2Pd5, optimized geometry, DFT PBE-GGA; ΔH_f (0 K) = -17.78 kcal/mol of atoms; ρ = 9.3 g cm⁻³
1.0
-3.4138 2.4997 0.9975
-2.5132 -3.5373 0.2631
2.0506 -0.7880 8.9928
Tm Pd Al Ac
1 5 2 1
direct
0.0000 0.0000 0.0000 Tm
0.5000 0.0000 0.7384 Pd
0.0000 0.5000 0.2616 Pd
0.5000 0.5000 0.5000 Pd
0.5000 0.0000 0.2616 Pd
0.0000 0.5000 0.7384 Pd
0.5000 0.5000 0.8620 Al
0.5000 0.5000 0.1380 Al
0.0000 0.0000 0.5000 Ac